# InIr2O6 (PBE-GGA, optimized geometry)
# Symmetry ... No. 162
# E ... -6.4433 eV/atom
# E_form (uncorrected) ... -0.86 eV per atom
data_InIr2O6
_space_group_name_H-M_alt 'P 1'
_space_group_IT_number 1
_space_group_name_Hall 'P 1'
_cell_length_a 4.663
_cell_length_b 5.195
_cell_length_c 5.195
_cell_angle_alpha 120.00
_cell_angle_beta 90.00
_cell_angle_gamma 90.00
loop_
_atom_site_label
_atom_site_fract_x
_atom_site_fract_y
_atom_site_fract_z
_atom_site_occupancy
O1 0.267 0.645 0.000 1
O2 0.733 0.000 0.355 1
O3 0.733 0.645 0.645 1
O4 0.267 0.355 0.355 1
O5 0.733 0.355 0.000 1
O6 0.267 0.000 0.645 1
Ir1 0.500 0.333 0.667 1
Ir2 0.500 0.667 0.333 1
In1 0.000 0.000 0.000 1